The following is a GGA-PBEsol calculation of crystalline YSi2Rh2 at its relaxed geometry, from Alexandria via LeMat-Bulk.

Formation energy (no corrections) (meV per atom): -1182

Lattice parameters (Å, degrees): 4.008 4.008 5.710 110.54 110.54 90.00
Element x y z (fractional)
Y 0.000 0.000 0.000
Si 0.378 0.378 0.757
Si 0.622 0.622 0.243
Rh 0.750 0.250 0.500
Rh 0.250 0.750 0.500

The following is a GGA-PBEsol calculation of crystalline Li3Sn11Pd4 at its relaxed geometry, from Alexandria via LeMat-Bulk.

Formation energy (eV/atom): -0.41

Lattice parameters (Å, degrees): 6.622 6.622 8.402 90.00 90.00 91.17
Element x y z (fractional)
Li 0.499 0.994 0.500
Li 0.994 0.499 0.500
Li 0.324 0.324 0.000
Sn 0.169 0.169 0.684
Sn 0.847 0.847 0.680
Sn 0.653 0.342 0.682
Sn 0.342 0.653 0.682
Sn 0.847 0.847 0.320
Sn 0.169 0.169 0.316
Sn 0.342 0.653 0.318
Sn 0.653 0.342 0.318
Sn 0.652 0.652 0.000
Sn 0.839 0.168 0.000
Sn 0.168 0.839 0.000
Pd 0.505 0.996 0.821
Pd 0.996 0.505 0.821
Pd 0.505 0.996 0.179
Pd 0.996 0.505 0.179

The following is a GGA-PBEsol calculation of crystalline AlInGe3 at its relaxed geometry, from Alexandria via LeMat-Bulk.

Formation energy (eV/atom): 1.03

Lattice parameters (Å, degrees): 5.131 5.131 5.131 90.00 90.00 90.00
Element x y z (fractional)
Ge 0.000 0.500 0.000
Ge 0.000 0.000 0.500
Ge 0.500 0.000 0.000
Al 0.500 0.500 0.500
In 0.000 0.000 0.000

The following is a GGA-PBEsol calculation of crystalline BaNi2N2 at its relaxed geometry, from Alexandria via LeMat-Bulk.

Formation energy (no corrections) (meV per atom): -310

Lattice parameters (Å, degrees): 6.077 6.077 6.077 90.99 119.43 119.43
Element x y z (fractional)
Ba 0.000 0.750 0.750
Ba 0.000 0.250 0.250
Ni 0.760 0.630 0.130
Ni 0.240 0.370 0.870
Ni 0.500 0.130 0.370
Ni 0.500 0.870 0.630
N 0.836 0.168 0.668
N 0.164 0.832 0.332
N 0.500 0.668 0.832
N 0.500 0.332 0.168

The following is a GGA-PBEsol calculation of crystalline Na2ZrMn at its relaxed geometry, from Alexandria via LeMat-Bulk.

Formation energy (eV/atom): 1.13

Lattice parameters (Å, degrees): 4.983 4.983 4.983 60.00 60.00 60.00
Element x y z (fractional)
Na 0.250 0.250 0.250
Na 0.750 0.750 0.750
Mn 0.000 0.000 0.000
Zr 0.500 0.500 0.500

The following is a GGA-PBEsol calculation of crystalline HgPtF3 at its relaxed geometry, from Alexandria via LeMat-Bulk.

Formation energy (no corrections) (meV per atom): -701

Lattice parameters (Å, degrees): 4.225 4.225 4.225 90.00 90.00 90.00
Element x y z (fractional)
Hg 0.500 0.500 0.500
Pt 0.000 0.000 0.000
F 0.000 0.500 0.000
F 0.000 0.000 0.500
F 0.500 0.000 0.000

The following is a GGA-PBEsol calculation of crystalline MgNi2Sb at its relaxed geometry, from Alexandria via LeMat-Bulk.

Formation energy (no corrections) (meV per atom): -207

Lattice parameters (Å, degrees): 3.389 4.111 4.111 90.00 90.00 90.00
Element x y z (fractional)
Mg 0.500 0.000 0.000
Ni 0.000 0.000 0.500
Ni 0.000 0.500 0.000
Sb 0.500 0.500 0.500

The following is a GGA-PBEsol calculation of crystalline MnZnW at its relaxed geometry, from Alexandria via LeMat-Bulk.

Formation energy (eV/atom): 0.20

Lattice parameters (Å, degrees): 2.615 4.193 4.193 120.00 90.00 90.00
Element x y z (fractional)
Mn 0.999 0.000 0.000
W 0.717 0.667 0.333
Zn 0.284 0.333 0.667

The following is a GGA-PBEsol calculation of crystalline Zr2HgAs at its relaxed geometry, from Alexandria via LeMat-Bulk.

Formation energy (eV/atom): -0.56

Lattice parameters (Å, degrees): 4.000 4.960 5.106 119.06 113.06 90.00
Element x y z (fractional)
As 0.500 0.000 0.000
Hg 0.000 0.500 0.000
Zr 0.768 0.768 0.536
Zr 0.232 0.232 0.464

The following is a GGA-PBEsol calculation of crystalline Li2Ni3SbO8 at its relaxed geometry, from Alexandria via LeMat-Bulk.

Formation energy (no corrections) (meV per atom): -1276

Lattice parameters (Å, degrees): 5.767 5.767 9.424 90.00 90.00 120.00
Element x y z (fractional)
Li 0.667 0.333 0.096
Li 0.000 0.000 0.010
Li 0.000 0.000 0.510
Li 0.333 0.667 0.596
Ni 0.824 0.661 0.785
Ni 0.837 0.176 0.785
Ni 0.339 0.163 0.785
Ni 0.661 0.824 0.285
Ni 0.176 0.837 0.285
Ni 0.163 0.339 0.285
Sb 0.667 0.333 0.512
Sb 0.333 0.667 0.012
O 0.820 0.677 0.406
O 0.969 0.513 0.657
O 0.667 0.333 0.879
O 0.000 0.000 0.702
O 0.000 0.000 0.202
O 0.857 0.180 0.406
O 0.487 0.456 0.657
O 0.544 0.031 0.657
O 0.677 0.820 0.906
O 0.323 0.143 0.406
O 0.513 0.969 0.157
O 0.456 0.487 0.157
O 0.333 0.667 0.379
O 0.180 0.857 0.906
O 0.031 0.544 0.157
O 0.143 0.323 0.906

The following is a GGA-PBEsol calculation of crystalline CsSb2Pb2 at its relaxed geometry, from Alexandria via LeMat-Bulk.

Formation energy (no corrections) (meV per atom): -147

Lattice parameters (Å, degrees): 5.411 5.411 7.439 111.33 111.33 90.00
Element x y z (fractional)
Pb 0.367 0.367 0.735
Pb 0.633 0.633 0.265
Cs 0.000 0.000 0.000
Sb 0.250 0.750 0.500
Sb 0.750 0.250 0.500

The following is a GGA-PBEsol calculation of crystalline Mg3ScN at its relaxed geometry, from Alexandria via LeMat-Bulk.

Formation energy (no corrections) (meV per atom): -81

Lattice parameters (Å, degrees): 4.426 4.426 4.426 90.00 90.00 90.00
Element x y z (fractional)
Sc 0.500 0.500 0.500
Mg 0.000 0.500 0.000
Mg 0.000 0.000 0.500
Mg 0.500 0.000 0.000
N 0.000 0.000 0.000

| no. | ρ (g cm⁻³) |
| --- | --- |
| 1 | 7.32 |
| 2 | 7.90 |
| 3 | 4.42 |
| 4 | 5.87 |
| 5 | 3.65 |
| 6 | 9.97 |
| 7 | 7.64 |
| 8 | 12.68 |
| 9 | 9.61 |
| 10 | 5.38 |
| 11 | 7.03 |
| 12 | 2.53 |